## ReSnPS2 (PBE)

Data for a geometry-optimized ReSnPS2 structure.

Cell lengths 4.674, 4.674, 4.753 Å; angles 90.00, 90.00, 90.00 degrees
Element x y z (fractional)
1 Re 0.000 0.000 0.000
2 Sn 0.500 0.500 0.500
3 P 0.000 0.000 0.500
4 S 0.000 0.500 0.000
5 S 0.500 0.000 0.000

Computed properties:
VASP energy: -5.70 eV per atom
formation energy (no corrections): 0.3267 eV per atom
total moment: 0.00 μB/f.u.
D(E_F): 0.81 states/eV per atom
SG: P4/mmm

***

## Nd4Ho3Er3 (PBE)

Data for a geometry-optimized Nd4Ho3Er3 structure.

Cell lengths 3.807, 9.281, 9.281 Å; angles 90.04, 90.00, 90.00 degrees
Element x y z (fractional)
1 Nd 0.000 0.000 0.000
2 Nd 0.000 0.263 0.263
3 Nd 0.000 0.500 0.763
4 Nd 0.000 0.763 0.500
5 Ho 0.000 0.132 0.631
6 Ho 0.000 0.631 0.132
7 Ho 0.500 0.799 0.799
8 Er 0.500 0.299 0.963
9 Er 0.500 0.463 0.463
10 Er 0.500 0.963 0.299

Computed properties:
VASP energy: -4.54 eV per atom
total moment: 0.00 μB/f.u.
D(E_F): 0.80 states/eV per atom
DFT formation energy: 0.106 eV/atom
SG: Amm2

***

## CaCe2Rh (PBE)

Data for a geometry-optimized CaCe2Rh structure.

Cell lengths 3.616, 3.616, 8.968 Å; angles 90.00, 90.00, 90.00 degrees
Element x y z (fractional)
1 Ca 0.000 0.000 0.000
2 Ce 0.500 0.500 0.331
3 Ce 0.500 0.500 0.669
4 Rh 0.000 0.000 0.500

Computed properties:
VASP energy: -5.53 eV per atom
total moment: 2.00 μB/f.u.
D(E_F): 2.75 states/eV per atom
DFT formation energy: -0.225 eV/atom
SG: P4/mmm

***

## ThSc2Co (PBE)

Data for a geometry-optimized ThSc2Co structure.

Cell lengths 3.251, 3.251, 8.228 Å; angles 90.00, 90.00, 90.00 degrees
Element x y z (fractional)
1 Th 0.000 0.000 0.000
2 Sc 0.500 0.500 0.319
3 Sc 0.500 0.500 0.681
4 Co 0.000 0.000 0.500

Computed properties:
VASP energy: -6.94 eV per atom
total moment: 0.49 μB/f.u.
D(E_F): 0.81 states/eV per atom
DFT formation energy: -0.139 eV/atom
SG: P4/mmm

***

## KLaPu2Te4 (PBE)

Data for a geometry-optimized KLaPu2Te4 structure.

Cell lengths 7.993, 4.539, 8.007 Å; angles 90.00, 108.86, 90.00 degrees
Element x y z (fractional)
1 K 0.000 0.000 0.000
2 La 0.000 0.500 0.500
3 Pu 0.500 0.000 0.500
4 Pu 0.500 0.500 0.000
5 Te 0.262 0.000 0.749
6 Te 0.268 0.500 0.266
7 Te 0.732 0.500 0.734
8 Te 0.738 0.000 0.251

Computed properties:
VASP energy: -7.11 eV per atom
formation energy (no corrections): -1.2058 eV per atom
total moment: 0.23 μB/f.u.
D(E_F): 4.23 states/eV per atom
SG: P2/m

***

## NaGe2I4 (PBE)

Data for a geometry-optimized NaGe2I4 structure.

Cell lengths 7.335, 7.335, 7.335 Å; angles 109.36, 109.36, 109.69 degrees
Element x y z (fractional)
1 Na 0.000 0.000 0.000
2 Ge 0.250 0.750 0.500
3 Ge 0.750 0.250 0.500
4 I 0.180 0.325 0.505
5 I 0.325 0.820 0.145
6 I 0.675 0.180 0.855
7 I 0.820 0.675 0.495

Computed properties:
VASP energy: -2.63 eV per atom
formation energy (no corrections): -0.2378 eV per atom
total moment: 1.04 μB/f.u.
D(E_F): 0.51 states/eV per atom
SG: I4/m

***

## TlCo2Ru (PBE)

Data for a geometry-optimized TlCo2Ru structure.

Cell lengths 4.054, 5.297, 5.297 Å; angles 31.24, 90.00, 90.00 degrees
Element x y z (fractional)
1 Tl 0.000 0.000 0.000
2 Co 0.000 0.741 0.741
3 Co 0.500 0.625 0.625
4 Ru 0.500 0.338 0.338

Computed properties:
VASP energy: -5.93 eV per atom
total moment: 3.72 μB/f.u.
D(E_F): 1.48 states/eV per atom
DFT formation energy: 0.533 eV/atom
SG: Amm2

***

## CdSn2Ru2 (PBE)

Data for a geometry-optimized CdSn2Ru2 structure.

Cell lengths 7.753, 7.753, 3.087 Å; angles 90.00, 90.00, 90.00 degrees
Element x y z (fractional)
1 Cd 0.000 0.000 0.000
2 Cd 0.500 0.500 0.000
3 Sn 0.145 0.355 0.000
4 Sn 0.355 0.855 0.000
5 Sn 0.645 0.145 0.000
6 Sn 0.855 0.645 0.000
7 Ru 0.150 0.650 0.500
8 Ru 0.350 0.150 0.500
9 Ru 0.650 0.850 0.500
10 Ru 0.850 0.350 0.500

Computed properties:
VASP energy: -5.42 eV per atom
total moment: 0.00 μB/f.u.
D(E_F): 0.48 states/eV per atom
DFT formation energy: 0.073 eV/atom
SG: P4/mbm

***

## CuRe2Si (PBE)

Data for a geometry-optimized CuRe2Si structure.

Cell lengths 2.865, 4.264, 4.569 Å; angles 90.00, 90.00, 90.00 degrees
Element x y z (fractional)
1 Cu 0.000 0.000 0.000
2 Re 0.000 0.500 0.500
3 Re 0.500 0.500 0.000
4 Si 0.500 0.000 0.500

Computed properties:
VASP energy: -8.32 eV per atom
formation energy (no corrections): 0.2810 eV per atom
total moment: 0.00 μB/f.u.
D(E_F): 0.67 states/eV per atom
SG: Pmmm

***

## Tc2HgI (PBE)

Data for a geometry-optimized Tc2HgI structure.

Cell lengths 9.953, 9.953, 9.953 Å; angles 154.73, 154.73, 36.03 degrees
Element x y z (fractional)
1 Tc 0.020 0.625 0.895
2 Tc 0.375 0.270 0.395
3 Tc 0.730 0.125 0.105
4 Tc 0.875 0.980 0.605
5 Hg 0.250 0.750 0.500
6 Hg 0.500 0.500 0.000
7 I 0.000 0.000 0.000
8 I 0.750 0.250 0.500

Computed properties:
VASP energy: -4.53 eV per atom
formation energy (no corrections): 1.1147 eV per atom
total moment: 0.00 μB/f.u.
D(E_F): 1.23 states/eV per atom
SG: I-42d

***

## DyAlO3 (PBE)

Data for a geometry-optimized DyAlO3 structure.

Cell lengths 3.710, 3.710, 3.710 Å; angles 90.00, 90.00, 90.00 degrees
Element x y z (fractional)
1 Dy 0.000 0.000 0.000
2 Al 0.500 0.500 0.500
3 O 0.000 0.500 0.500
4 O 0.500 0.000 0.500
5 O 0.500 0.500 0.000

Computed properties:
VASP energy: -7.85 eV per atom
formation energy (no corrections): -3.2021 eV per atom
total moment: 0.00 μB/f.u.
D(E_F): 0.00 states/eV per atom
SG: Pm-3m

***

## LuHfReNi (PBE)

Data for a geometry-optimized LuHfReNi structure.

Cell lengths 4.641, 4.641, 4.641 Å; angles 60.00, 60.00, 60.00 degrees
Element x y z (fractional)
1 Lu 0.000 0.000 0.000
2 Hf 0.500 0.500 0.500
3 Re 0.250 0.250 0.250
4 Ni 0.750 0.750 0.750

Computed properties:
VASP energy: -8.45 eV per atom
total moment: 0.00 μB/f.u.
D(E_F): 0.39 states/eV per atom
DFT formation energy: -0.276 eV/atom
SG: F-43m

***

Question: What is the VASP energy in the third record?
Answer: -5.53 eV per atom

***

Question: Which formula does entry 5 have?
Answer: KLaPu2Te4

***

Question: VASP energy of number 10 (Tc2HgI)?
Answer: -4.53 eV per atom